No. 1
A plane-wave DFT calculation with PBE-GGA was carried out for a geometry-optimized BaY2F8 structure.

abc: 7.8573 7.8573 7.8573
angles: 139.64 139.64 58.40
Last column: nearest neighbours and their distance in Å.
Element x y z (fractional)
Ba: 0.0000 0.0000 0.0000  4 F 2.54
Y: 0.3115 0.3115 0.0000  6 F 2.12-2.27
Y: 0.6885 0.6885 0.0000  6 F 2.12-2.27
F: 0.0136 0.6008 0.0000  2 Y 2.25-2.27
F: 0.2097 0.2097 0.5895  1 Y 2.12
F: 0.3797 0.7903 0.0000  1 Y 2.12
F: 0.3992 0.3992 0.4127  2 Y 2.25-2.27
F: 0.6008 0.0136 0.0000  2 Y 2.25-2.27
F: 0.6203 0.6203 0.4105  1 Y 2.12
F: 0.7903 0.3797 0.0000  1 Y 2.12
F: 0.9864 0.9864 0.5873  2 Y 2.25-2.27

Summary:
uncorrected formation energy	-4248	kJ/mol of formula units
DOS at the Fermi energy	0.0000	states/eV/atom
total magnetization	0.2	μB/cell

No. 2
A plane-wave DFT calculation with PBE-GGA was carried out for a geometry-optimized PaCuSi3 structure.

abc: 4.0357 7.9948 6.0999
angles: 90.00 109.30 90.00
Last column: nearest neighbours and their distance in Å.
Element x y z (fractional)
Pa: 0.0014 0.2500 0.0020  10 Si 3.04-3.09, 3 Cu 3.11-3.39
Pa: 0.9986 0.7500 0.9980  10 Si 3.04-3.09, 3 Cu 3.11-3.39
Cu: 0.2967 0.2500 0.5911  4 Si 2.28-2.30
Cu: 0.7033 0.7500 0.4089  4 Si 2.28-2.30
Si: 0.2954 0.7500 0.5933  2 Cu 2.28, 2 Si 2.37
Si: 0.4023 0.0051 0.8013  2 Si 2.29-2.37, 1 Cu 2.30
Si: 0.4023 0.4949 0.8013  2 Si 2.29-2.37, 1 Cu 2.30
Si: 0.5977 0.5051 0.1987  2 Si 2.29-2.37, 1 Cu 2.30
Si: 0.5977 0.9949 0.1987  2 Si 2.29-2.37, 1 Cu 2.30
Si: 0.7046 0.2500 0.4067  2 Cu 2.28, 2 Si 2.37

Summary:
uncorrected formation energy	-110	kJ/mol of formula units
DOS at the Fermi energy	0.6325	states/eV/atom
total magnetization	0.0	μB/cell

No. 3
A plane-wave DFT calculation with PBE-GGA was carried out for a geometry-optimized AlNiSb2 structure.

abc: 3.7516 4.2342 5.0579
angles: 90.00 90.00 90.00
Last column: nearest neighbours and their distance in Å.
Element x y z (fractional)
Al: 0.0000 0.0000 0.0000  8 Sb 2.83-3.15
Ni: 0.0000 0.5000 0.5000  8 Sb 2.83-3.15
Sb: 0.5000 0.0000 0.5000  4 Ni 2.83, 4 Al 3.15
Sb: 0.5000 0.5000 0.0000  4 Al 2.83, 4 Ni 3.15

Summary:
uncorrected formation energy	107	kJ/mol of formula units
DOS at the Fermi energy	0.6433	states/eV/atom
total magnetization	0.0	μB/cell

No. 4
A plane-wave DFT calculation with PBE-GGA was carried out for a geometry-optimized NbVRh2 structure.

abc: 3.9671 3.9671 3.7902
angles: 90.00 90.00 90.00
Last column: nearest neighbours and their distance in Å.
Element x y z (fractional)
Nb: 0.0000 0.0000 0.0000  8 Rh 2.74, 4 V 2.81
V: 0.5000 0.5000 0.0000  8 Rh 2.74, 4 Nb 2.81
Rh: 0.0000 0.5000 0.5000  4 Nb 2.74, 4 V 2.74, 4 Rh 2.81
Rh: 0.5000 0.0000 0.5000  4 Nb 2.74, 4 V 2.74, 4 Rh 2.81

Summary:
DOS at the Fermi energy	0.9864	states/eV/atom
total DFT energy (no corrections)	-8.86	eV/atom
total magnetization	0.0	μB/cell

No. 5
A plane-wave DFT calculation with PBE-GGA was carried out for a geometry-optimized ZrAlCu2 structure.

abc: 8.7226 8.7226 8.7226
angles: 19.57 19.57 19.57
Last column: nearest neighbours and their distance in Å.
Element x y z (fractional)
Zr: 0.0000 0.0000 0.0000  3 Cu 2.85, 6 Zr 2.97, 3 Al 3.02
Al: 0.7637 0.7637 0.7637  3 Cu 2.57
Cu: 0.2443 0.2443 0.2443  3 Cu 2.53
Cu: 0.5052 0.5052 0.5052  3 Cu 2.53, 3 Al 2.57

Summary:
DOS at the Fermi energy	0.8067	states/eV/atom
total DFT energy (no corrections)	-5.07	eV/atom
total magnetization	0.0	μB/cell

No. 6
A plane-wave DFT calculation with PBE-GGA was carried out for a geometry-optimized Pm3Dy2Tm4 structure.

abc: 6.4047 6.4047 9.0741
angles: 101.07 101.07 52.83
Last column: nearest neighbours and their distance in Å.
Element x y z (fractional)
Pm: 0.0000 0.0000 0.0000  2 Pm 3.39, 8 Tm 3.56-3.76
Pm: 0.1192 0.1192 0.6889  1 Pm 3.39, 6 Tm 3.42-3.75, 3 Dy 3.57-3.60
Pm: 0.8808 0.8808 0.3111  1 Pm 3.39, 6 Tm 3.42-3.75, 3 Dy 3.57-3.60
Dy: 0.4346 0.4346 0.7020  5 Tm 3.25-3.54, 3 Pm 3.57-3.60
Dy: 0.5654 0.5654 0.2980  5 Tm 3.25-3.54, 3 Pm 3.57-3.60
Tm: 0.2282 0.2282 0.3664  3 Dy 3.39-3.43, 3 Tm 3.39-3.71, 4 Pm 3.42-3.76
Tm: 0.3227 0.3227 0.0368  2 Dy 3.25-3.54, 3 Tm 3.30-3.39, 3 Pm 3.50-3.56
Tm: 0.6773 0.6773 0.9632  2 Dy 3.25-3.54, 3 Tm 3.30-3.39, 3 Pm 3.50-3.56
Tm: 0.7718 0.7718 0.6336  3 Dy 3.39-3.43, 3 Tm 3.39-3.71, 4 Pm 3.42-3.76

Summary:
DOS at the Fermi energy	1.9611	states/eV/atom
total DFT energy (no corrections)	-4.48	eV/atom
total magnetization	0.0	μB/cell

No. 7
A plane-wave DFT calculation with PBE-GGA was carried out for a geometry-optimized NiAg2Cl5 structure.

abc: 6.7640 6.7640 6.1846
angles: 116.72 116.72 83.74
Last column: nearest neighbours and their distance in Å.
Element x y z (fractional)
Ni: 0.0000 0.0000 0.0000  5 Cl 2.21-2.39
Ag: 0.0628 0.6224 0.4372  4 Cl 2.55-2.83
Ag: 0.6224 0.0628 0.4372  4 Cl 2.55-2.83
Cl: 0.2521 0.7639 0.9733  1 Ni 2.22
Cl: 0.2767 0.2767 0.2917  1 Ni 2.23
Cl: 0.7348 0.7348 0.6421  1 Ni 2.21
Cl: 0.7639 0.2521 0.9733  1 Ni 2.22
Cl: 0.9592 0.9592 0.3421  1 Ni 2.39, 2 Ag 2.55

Summary:
uncorrected formation energy	-329	kJ/mol of formula units
DOS at the Fermi energy	0.2631	states/eV/atom
total magnetization	1.0	μB/cell